A relaxed Cu3Ag crystal. Source: the Open Quantum Materials Database, functional PBE-GGA.

Calculated values
Space-group type: P2_1/m, No. 11
E_tot, hartree per atom: -0.12551
Energy relative to the elements, meV per atom: 78

a b c (Å): 6.4738 2.7063 6.5282
angles (deg): 90.00 110.99 90.00
Element x y z (fractional)
Cu (0.8199, 0.2500, 0.4546)
Cu (0.5529, 0.2500, 0.6731)
Cu (0.9160, 0.7500, 0.7995)
Cu (0.4471, 0.7500, 0.3269)
Cu (0.1801, 0.7500, 0.5454)
Cu (0.0840, 0.2500, 0.2005)
Ag (0.7048, 0.7500, 0.0736)
Ag (0.2952, 0.2500, 0.9264)

---

A relaxed Gd4Te3N crystal. Source: the Open Quantum Materials Database, functional PBE-GGA.

Calculated values
Total moment, μB/atom: 0.00
Space-group type: I4/mmm, No. 139
E_tot, hartree per atom: -0.21124

a b c (Å): 7.4160 7.4160 7.4160
angles (deg): 132.39 132.39 69.62
Element x y z (fractional)
Te (0.0000, 0.0000, 0.0000)
Te (0.2500, 0.7500, 0.5000)
Te (0.7500, 0.2500, 0.5000)
Gd (0.0000, 0.5000, 0.5000)
Gd (0.3150, 0.3150, 0.0000)
Gd (0.5000, 0.0000, 0.5000)
Gd (0.6850, 0.6850, 0.0000)
N (0.5000, 0.5000, 0.0000)

---

Among the records above, which one has the highest E_tot? Cu3Ag

---

Which of these has the highest E_tot? Cu3Ag

---

The highest E_tot belongs to which entry? Cu3Ag

---

Number 2 is which compound? Gd4Te3N